Computed, not measured: a relaxed structure of Sc2SiB at the PBE level of DFT.

Computed properties:
- polymorph energy (0 for the lowest one) (meV/atom) = 280
- uncorrected formation energy (kJ/mol of atoms) = 20.7
- E (eV per atom) = -5.976

Geometry as CIF:
```
data_Sc2SiB
_cell_length_a 3.4005
_cell_length_b 3.4005
_cell_length_c 24.7475
_cell_angle_alpha 90.00
_cell_angle_beta 90.00
_cell_angle_gamma 120.00
_space_group_name_H-M_alt 'R -3 m'
_space_group_IT_number 166
_space_group_name_Hall '-R 3 2"'
loop_
_atom_site_label
_atom_site_type_symbol
_atom_site_fract_x
_atom_site_fract_y
_atom_site_fract_z
Sc1 Sc 0.0000 0.0000 0.1130
Si1 Si 0.0000 0.0000 0.0000
B1 B 0.0000 0.0000 0.5000
```